## LaMg2Au3 (PBE-GGA)

Data for a relaxed structure of LaMg2Au3.

a b c (Å): 4.7288 4.7288 13.5810
angles (deg): 90.00 90.00 120.00
With the nearest neighbours (Å) after each atom.
Space group P6_3/mmc (No. 194)
One atom of each set of equivalent atoms:
La (0.0000, 0.0000, 0.2500)  8 Au 3.15-3.40
Mg (0.3333, 0.6667, 0.0693)  7 Au 2.76-2.89
Au (0.0000, 0.0000, 0.0000)  6 Mg 2.89
Au (0.3333, 0.6667, 0.6337)  4 Mg 2.76-2.87

ΔE to the lowest computed polymorph = 0 meV/atom
Raw total energy = -3.681 eV/atom
DOS(E_F) = 4.03 states/eV/f.u.
ΔE_f = -0.69 eV/atom